## Y4ScAg2 (PBE)

Data for a relaxed Y4ScAg2 crystal.

Geometry as POSCAR:
```
Y4ScAg2
1.0
-4.312 -2.950 1.061
-0.462 -4.889 -2.076
2.252 -5.820 6.360
Ag Y Sc
2 4 1
Direct
0.393 0.393 0.821
0.607 0.607 0.179
0.872 0.872 0.384
0.128 0.128 0.616
0.724 0.724 0.827
0.276 0.276 0.173
0.500 0.500 0.500
```

Calculated values
Energy of formation in eV/atom: 0.0786
Size of the total moment in μB per formula unit: 0.00
E in eV/atom: -5.334
Volume in Å³/atom: 29.40
SG: No. 166